[1]
First-principles (GGA-PBEsol) data for a geometry-optimized Sm3Gd structure, as listed in Alexandria via LeMat-Bulk.

The structure in CIF format:
```
data_Sm3Gd
_cell_length_a 7.1369
_cell_length_b 7.1369
_cell_length_c 5.7195
_cell_angle_alpha 90.00
_cell_angle_beta 90.00
_cell_angle_gamma 120.00
_space_group_name_H-M_alt 'P 63/m m c'
_space_group_IT_number 194
_space_group_name_Hall '-P 6c 2c'
loop_
_atom_site_label
_atom_site_fract_x
_atom_site_fract_y
_atom_site_fract_z
Sm1 0.1665 0.3329 0.2500
Gd1 0.3333 0.6667 0.7500
```

[2]
First-principles (GGA-PBEsol) data for a geometry-optimized GdTe structure, as listed in Alexandria via LeMat-Bulk.

The structure in CIF format:
```
data_GdTe
_cell_length_a 4.0620
_cell_length_b 4.0620
_cell_length_c 4.0498
_cell_angle_alpha 90.00
_cell_angle_beta 90.00
_cell_angle_gamma 120.00
_space_group_name_H-M_alt 'P -6 m 2'
_space_group_IT_number 187
_space_group_name_Hall 'P -6 2'
loop_
_atom_site_label
_atom_site_fract_x
_atom_site_fract_y
_atom_site_fract_z
Gd1 0.0000 0.0000 0.0000
Te1 0.6667 0.3333 0.5000
```

Output
Formation energy (no corrections) ... -2.82 eV per formula unit

[3]
First-principles (GGA-PBEsol) data for a geometry-optimized GdTe structure, as listed in Alexandria via LeMat-Bulk.

The structure in CIF format:
```
data_GdTe
_cell_length_a 6.128
_cell_length_b 6.128
_cell_length_c 6.128
_cell_angle_alpha 90.00
_cell_angle_beta 90.00
_cell_angle_gamma 90.00
_space_group_name_H-M_alt 'F m -3 m'
_space_group_IT_number 225
_space_group_name_Hall '-F 4 2 3'
loop_
_atom_site_label
_atom_site_fract_x
_atom_site_fract_y
_atom_site_fract_z
Gd1 0.000 0.000 0.000
Te1 0.000 0.000 0.500
```

Output
Formation energy (no corrections) ... -2.91 eV per formula unit

| no. | DFT total energy (eV per atom) | total moment (μB per cell) |
| --- | --- | --- |
| 1 | -7.41 | 15.0 |
| 2 | -10.40 | 7.8 |
| 3 | -10.44 | 27.4 |